Record 1
{"formula": "Ac12In3Ni5", "functional": "PBE", "state": "optimized geometry", "lattice_angstrom": [[15.780, 0.000, 0.000], [-5.260, 14.877, 0.000], [-5.260, -7.439, 12.884]], "species": ["In", "In", "In", "In", "In", "In", "In", "In", "In", "In", "In", "In", "Ni", "Ni", "Ni", "Ni", "Ni", "Ni", "Ni", "Ni", "Ni", "Ni", "Ni", "Ni", "Ni", "Ni", "Ni", "Ni", "Ni", "Ni", "Ni", "Ni", "Ac", "Ac", "Ac", "Ac", "Ac", "Ac", "Ac", "Ac", "Ac", "Ac", "Ac", "Ac", "Ac", "Ac", "Ac", "Ac", "Ac", "Ac", "Ac", "Ac", "Ac", "Ac", "Ac", "Ac", "Ac", "Ac", "Ac", "Ac", "Ac", "Ac", "Ac", "Ac", "Ac", "Ac", "Ac", "Ac", "Ac", "Ac", "Ac", "Ac", "Ac", "Ac", "Ac", "Ac", "Ac", "Ac", "Ac", "Ac"], "fractional_positions": [[0.750, 0.375, 0.125], [0.875, 0.750, 0.125], [0.375, 0.750, 0.625], [0.250, 0.125, 0.375], [0.875, 0.125, 0.250], [0.375, 0.625, 0.250], [0.625, 0.375, 0.750], [0.125, 0.875, 0.750], [0.750, 0.875, 0.625], [0.625, 0.250, 0.375], [0.125, 0.250, 0.875], [0.250, 0.625, 0.875], [0.125, 0.375, 0.250], [0.000, 0.500, 0.000], [0.000, 0.000, 0.000], [0.375, 0.250, 0.125], [0.500, 0.000, 0.500], [0.500, 0.500, 0.000], [0.125, 0.750, 0.375], [0.750, 0.125, 0.875], [0.750, 0.625, 0.375], [0.375, 0.125, 0.750], [0.625, 0.875, 0.250], [0.500, 0.500, 0.500], [0.500, 0.000, 0.000], [0.000, 0.000, 0.500], [0.250, 0.375, 0.625], [0.250, 0.875, 0.125], [0.000, 0.500, 0.500], [0.875, 0.250, 0.625], [0.625, 0.750, 0.875], [0.875, 0.625, 0.750], [0.706, 0.121, 0.029], [0.323, 0.529, 0.408], [0.971, 0.379, 0.294], [0.529, 0.206, 0.121], [0.585, 0.706, 0.677], [0.971, 0.592, 0.177], [0.323, 0.794, 0.415], [0.092, 0.915, 0.121], [0.592, 0.971, 0.677], [0.706, 0.585, 0.177], [0.794, 0.471, 0.379], [0.823, 0.908, 0.029], [0.121, 0.706, 0.529], [0.379, 0.408, 0.085], [0.085, 0.908, 0.379], [0.415, 0.121, 0.592], [0.085, 0.177, 0.206], [0.471, 0.677, 0.092], [0.823, 0.915, 0.294], [0.121, 0.415, 0.092], [0.379, 0.971, 0.794], [0.592, 0.621, 0.415], [0.908, 0.823, 0.529], [0.794, 0.323, 0.915], [0.408, 0.379, 0.585], [0.092, 0.177, 0.471], [0.206, 0.677, 0.085], [0.177, 0.085, 0.706], [0.621, 0.029, 0.206], [0.879, 0.585, 0.908], [0.529, 0.323, 0.908], [0.585, 0.879, 0.408], [0.915, 0.823, 0.794], [0.915, 0.092, 0.621], [0.879, 0.294, 0.471], [0.177, 0.092, 0.971], [0.621, 0.592, 0.915], [0.408, 0.029, 0.323], [0.294, 0.415, 0.823], [0.206, 0.529, 0.621], [0.908, 0.085, 0.879], [0.677, 0.206, 0.585], [0.471, 0.794, 0.879], [0.029, 0.408, 0.823], [0.415, 0.294, 0.323], [0.029, 0.621, 0.706], [0.677, 0.471, 0.592], [0.294, 0.879, 0.971]], "energy_ev_per_atom": -4.3800, "n_ef_per_ev_atom": 1.03, "formation_energy_ev_per_fu": -1.2, "sg": "Ia-3d", "total_magnetization_mub_per_fu": 0.00}

***

Record 2
{"formula": "TaFe2Ir", "functional": "PBE", "state": "optimized geometry", "lattice_angstrom": [[-1.663, -0.811, 2.398], [2.499, -0.986, 1.399], [0.822, 5.552, 2.447]], "species": ["Fe", "Fe", "Ir", "Ta"], "fractional_positions": [[0.000, 0.000, 0.017], [0.500, 0.500, 0.227], [0.000, 0.000, 0.488], [0.500, 0.500, 0.768]], "energy_ev_per_atom": -9.5970, "n_ef_per_ev_atom": 0.59, "formation_energy_ev_per_fu": -0.7, "sg": "P4mm", "polymorph_energy_ev_per_atom": 0.084, "total_magnetization_mub_per_fu": 4.84}

***

Record 3
{"formula": "LiRhPbN2", "functional": "PBE", "state": "optimized geometry", "lattice_angstrom": [[-1.446, -3.623, 0.252], [3.212, -1.465, -2.630], [2.248, -0.680, 3.125]], "species": ["Pb", "Li", "Rh", "N", "N"], "fractional_positions": [[0.500, 0.500, 0.500], [0.000, 0.000, 0.000], [0.000, 0.500, 0.000], [0.000, 0.000, 0.500], [0.500, 0.000, 0.000]], "energy_ev_per_atom": -4.4823, "n_ef_per_ev_atom": 0.90, "sg": "P4/mmm", "total_magnetization_mub_per_fu": 1.98, "raw_formation_energy_ev_per_atom": 1.44}

***

Record 4
{"formula": "Ta3AgC", "functional": "PBE", "state": "optimized geometry", "lattice_angstrom": [[4.867, 0.000, 0.000], [0.000, 4.867, 0.000], [0.000, 0.000, 4.867]], "species": ["C", "Ag", "Ta", "Ta", "Ta"], "fractional_positions": [[0.500, 0.500, 0.500], [0.000, 0.000, 0.000], [0.000, 0.500, 0.000], [0.000, 0.000, 0.500], [0.500, 0.000, 0.000]], "energy_ev_per_atom": -6.2757, "n_ef_per_ev_atom": 1.83, "formation_energy_ev_per_fu": 16.3, "sg": "Pm-3m", "polymorph_energy_ev_per_atom": 3.282, "total_magnetization_mub_per_fu": 0.00}

***

Repeat the third record exactly.
{"formula": "LiRhPbN2", "functional": "PBE", "state": "optimized geometry", "lattice_angstrom": [[-1.446, -3.623, 0.252], [3.212, -1.465, -2.630], [2.248, -0.680, 3.125]], "species": ["Pb", "Li", "Rh", "N", "N"], "fractional_positions": [[0.500, 0.500, 0.500], [0.000, 0.000, 0.000], [0.000, 0.500, 0.000], [0.000, 0.000, 0.500], [0.500, 0.000, 0.000]], "energy_ev_per_atom": -4.4823, "n_ef_per_ev_atom": 0.90, "sg": "P4/mmm", "total_magnetization_mub_per_fu": 1.98, "raw_formation_energy_ev_per_atom": 1.44}